Compound: Li4Mo5O17
Source: Alexandria via LeMat-Bulk
Functional: PBE+U
Structure: relaxed

POSCAR file:
```
Li4Mo5O17
1.0
6.925 0.000 0.000
-3.461 8.995 0.000
-0.341 -3.273 10.597
Li Mo O
8 10 34
Cartesian
-0.444 2.325 0.687 Li
-0.247 0.961 8.645 Li
0.795 0.569 4.844 Li
1.881 0.014 1.510 Li
1.242 5.707 9.088 Li
2.327 5.152 5.753 Li
3.370 4.761 1.952 Li
3.566 3.396 9.911 Li
0.981 -2.214 8.874 Mo
-1.105 4.084 7.445 Mo
-1.526 6.355 5.041 Mo
-0.056 3.717 3.732 Mo
-0.293 5.878 1.187 Mo
3.416 -0.157 9.410 Mo
3.178 2.005 6.865 Mo
4.648 -0.633 5.557 Mo
4.228 1.637 3.153 Mo
2.142 7.936 1.724 Mo
-0.603 -0.403 5.946 O
-2.054 5.803 0.922 O
-3.182 8.222 2.390 O
-1.356 2.310 7.507 O
-0.359 1.952 3.888 O
-1.984 4.676 8.989 O
1.010 1.055 0.037 O
-0.959 4.300 5.430 O
-1.612 6.108 6.964 O
0.054 3.924 1.853 O
-0.676 5.718 3.427 O
1.266 -0.425 8.575 O
0.016 2.227 10.210 O
2.226 -0.881 4.931 O
-0.063 7.715 1.340 O
1.545 1.769 6.332 O
0.576 4.321 7.834 O
2.547 1.401 2.764 O
1.578 3.953 4.265 O
3.186 -1.993 9.258 O
0.897 6.603 5.667 O
3.106 3.494 0.387 O
1.857 6.147 2.022 O
3.798 0.003 7.170 O
3.068 1.798 8.744 O
4.734 -0.386 3.633 O
4.082 1.421 5.167 O
2.113 4.667 10.560 O
5.107 1.046 1.608 O
3.482 3.770 6.710 O
4.478 3.411 3.091 O
6.305 -2.501 8.208 O
5.176 -0.082 9.676 O
3.725 6.125 4.651 O
```

* total DFT energy (no corrections): -6.65 eV per atom
* total magnetization: 0.00 μB/f.u.